Record 1
Here is a relaxed PrHo3Er6 crystal from Alexandria via LeMat-Bulk. Energies are from PBE.

Calculated values
Its size of the total moment is 0.0 μB per cell. Its formation energy is 144 kJ/mol of formula units. For the total DFT energy (no corrections), the calculation gives -4.439 eV per atom.

```
PrHo3Er6
1.0
-0.679 -3.638 -4.964
10.883 -0.746 -0.941
-5.706 -7.149 6.018
Pr Ho Er
2 6 12
Cartesian
-2.339 -6.521 3.562 Pr
6.907 -4.640 -2.941 Pr
5.690 -7.420 1.153 Ho
1.815 -10.603 0.154 Ho
0.645 -5.038 2.825 Ho
4.056 -5.409 -1.231 Ho
-1.468 -5.597 -3.065 Ho
2.407 -2.414 -2.066 Ho
4.216 -5.010 3.079 Er
2.381 -7.407 1.224 Er
0.229 -8.740 3.605 Er
6.919 -7.846 -1.826 Er
9.778 -2.588 -2.678 Er
-1.006 -7.487 0.701 Er
5.658 -3.227 0.530 Er
-5.509 -10.176 1.110 Er
-2.568 -4.476 0.863 Er
4.123 -3.582 -4.569 Er
2.454 -2.322 1.350 Er
0.619 -4.719 -0.505 Er
```

Record 2
Here is a relaxed Pr4HoEr6 crystal from Alexandria via LeMat-Bulk. Energies are from PBE.

Calculated values
Its size of the total moment is 0.0 μB per cell. Its formation energy is 494 kJ/mol of formula units. For the total DFT energy (no corrections), the calculation gives -4.177 eV per atom. Its polymorph energy (0 for the lowest one) is 172 meV per atom.

```
Pr4HoEr6
1.0
7.692 0.000 0.000
0.000 7.692 0.000
-3.846 -3.846 6.581
Pr Ho Er
4 1 6
Cartesian
-2.482 2.482 5.558 Pr
6.328 6.328 1.023 Pr
2.482 -2.482 5.558 Pr
1.364 1.364 1.023 Pr
3.846 3.846 0.000 Ho
5.696 1.996 2.385 Er
1.996 5.696 2.385 Er
1.850 1.850 4.196 Er
0.000 3.846 0.000 Er
-1.850 -1.850 4.196 Er
3.846 0.000 0.000 Er
```

Copy entry 2 word for word.
Here is a relaxed Pr4HoEr6 crystal from Alexandria via LeMat-Bulk. Energies are from PBE.

Calculated values
Its size of the total moment is 0.0 μB per cell. Its formation energy is 494 kJ/mol of formula units. For the total DFT energy (no corrections), the calculation gives -4.177 eV per atom. Its polymorph energy (0 for the lowest one) is 172 meV per atom.

```
Pr4HoEr6
1.0
7.692 0.000 0.000
0.000 7.692 0.000
-3.846 -3.846 6.581
Pr Ho Er
4 1 6
Cartesian
-2.482 2.482 5.558 Pr
6.328 6.328 1.023 Pr
2.482 -2.482 5.558 Pr
1.364 1.364 1.023 Pr
3.846 3.846 0.000 Ho
5.696 1.996 2.385 Er
1.996 5.696 2.385 Er
1.850 1.850 4.196 Er
0.000 3.846 0.000 Er
-1.850 -1.850 4.196 Er
3.846 0.000 0.000 Er
```

Copy entry 2 word for word.
Here is a relaxed Pr4HoEr6 crystal from Alexandria via LeMat-Bulk. Energies are from PBE.

Calculated values
Its size of the total moment is 0.0 μB per cell. Its formation energy is 494 kJ/mol of formula units. For the total DFT energy (no corrections), the calculation gives -4.177 eV per atom. Its polymorph energy (0 for the lowest one) is 172 meV per atom.

```
Pr4HoEr6
1.0
7.692 0.000 0.000
0.000 7.692 0.000
-3.846 -3.846 6.581
Pr Ho Er
4 1 6
Cartesian
-2.482 2.482 5.558 Pr
6.328 6.328 1.023 Pr
2.482 -2.482 5.558 Pr
1.364 1.364 1.023 Pr
3.846 3.846 0.000 Ho
5.696 1.996 2.385 Er
1.996 5.696 2.385 Er
1.850 1.850 4.196 Er
0.000 3.846 0.000 Er
-1.850 -1.850 4.196 Er
3.846 0.000 0.000 Er
```